This record from Alexandria via LeMat-Bulk describes Mn2NbPbO after structural relaxation. The functional is PBE+U.

Lattice parameters (Å, degrees): 5.247 5.247 5.539 90.00 90.00 90.00
Fractional positions:
1 Mn 0.000 0.500 0.000
2 Mn 0.500 0.000 0.000
3 Nb 0.000 0.000 0.500
4 Pb 0.000 0.000 0.000
5 O 0.500 0.500 0.500

Calculated values
Space-group type: P4/mmm, No. 123
E_tot: -25.18 eV/cell